1.
Density functional theory data (PBEsol) for a relaxed structure of BaTeF6.

It has space group Fdd2 (No. 43), with a = 15.113 Å, b = 15.157 Å, c = 8.882 Å, α = 90.00°, β = 90.00° and γ = 90.00°. The asymmetric unit holds Ba at (0.077, 0.116, 0.000), Te at (0.107, 0.143, 0.559), F at (0.005, 0.157, 0.704), F at (0.016, 0.391, 0.754), F at (0.082, 0.448, 0.463), F at (0.083, 0.266, 0.491), F at (0.090, 0.459, 0.969) and F at (0.110, 0.299, 0.958).

As for the crystal system: orthorhombic. Its energy is -4.9916 eV per atom. The calculation puts the uncorrected formation energy at -2.837 eV per atom.

***

2.
Density functional theory data (PBEsol) for a relaxed structure of Ba2TeF.

It has space group I-42d (No. 122), with a = 8.051 Å, b = 8.051 Å, c = 8.146 Å, α = 90.00°, β = 90.00° and γ = 90.00°. The asymmetric unit holds Ba at (0.175, 0.750, 0.125), Te at (0.000, 0.000, 0.500) and F at (0.000, 0.000, 0.000).

As for the crystal system: tetragonal. Its energy is -4.5477 eV per atom. The calculation puts the uncorrected formation energy at -2.110 eV per atom.